No. 1
DFT (PBEsol) results for an optimized crystal structure of BaAlTl2Os.

Properties
Energy relative to the elements = 1.338 eV/atom
DOS at the Fermi energy = 5.83 states/eV/cell

```
data_BaAlTl2Os
_chemical_formula_sum 'Ba1 Al1 Tl2 Os1'
_cell_length_a 5.079
_cell_length_b 5.079
_cell_length_c 6.087
_cell_angle_alpha 90.00
_cell_angle_beta 90.00
_cell_angle_gamma 90.00
_space_group_name_H-M_alt 'P 4/m m m'
_space_group_IT_number 123
_space_group_name_Hall '-P 4 2'
loop_
_atom_site_label
_atom_site_type_symbol
_atom_site_fract_x
_atom_site_fract_y
_atom_site_fract_z
Ba1 Ba 0.000 0.000 0.000
Al1 Al 0.000 0.000 0.500
Tl1 Tl 0.000 0.500 0.500
Os1 Os 0.500 0.500 0.000
```

=====

No. 2
DFT (PBEsol) results for an optimized crystal structure of BaAlP.

Properties
Energy relative to the elements = -0.412 eV/atom
DOS at the Fermi energy = 3.49 states/eV/cell

```
data_BaAlP
_chemical_formula_sum 'Ba2 Al2 P2'
_cell_length_a 3.532
_cell_length_b 3.532
_cell_length_c 11.474
_cell_angle_alpha 90.00
_cell_angle_beta 90.00
_cell_angle_gamma 90.00
_space_group_name_H-M_alt 'I 4 m m'
_space_group_IT_number 107
_space_group_name_Hall 'I 4 -2'
loop_
_atom_site_label
_atom_site_type_symbol
_atom_site_fract_x
_atom_site_fract_y
_atom_site_fract_z
Ba1 Ba 0.000 0.000 0.000
Al1 Al 0.000 0.000 0.283
P1 P 0.000 0.000 0.708
```

=====

No. 3
DFT (PBEsol) results for an optimized crystal structure of Ba2AlP.

Properties
Energy relative to the elements = -0.288 eV/atom
DOS at the Fermi energy = 5.38 states/eV/cell
Polymorph energy (0 for the lowest one) = 1.09 eV per formula unit

```
data_Ba2AlP
_chemical_formula_sum 'Ba4 Al2 P2'
_cell_length_a 5.113
_cell_length_b 5.113
_cell_length_c 9.261
_cell_angle_alpha 90.00
_cell_angle_beta 90.00
_cell_angle_gamma 90.00
_space_group_name_H-M_alt 'I 4/m m m'
_space_group_IT_number 139
_space_group_name_Hall '-I 4 2'
loop_
_atom_site_label
_atom_site_type_symbol
_atom_site_fract_x
_atom_site_fract_y
_atom_site_fract_z
Ba1 Ba 0.000 0.500 0.250
Al1 Al 0.000 0.000 0.000
P1 P 0.000 0.000 0.500
```

=====

No. 4
DFT (PBEsol) results for an optimized crystal structure of Ba3Al2P4.

Properties
Energy relative to the elements = -0.955 eV/atom

```
data_Ba3Al2P4
_chemical_formula_sum 'Ba12 Al8 P16'
_cell_length_a 7.241
_cell_length_b 11.504
_cell_length_c 11.522
_cell_angle_alpha 90.00
_cell_angle_beta 90.00
_cell_angle_gamma 90.00
_space_group_name_H-M_alt 'P n m a'
_space_group_IT_number 62
_space_group_name_Hall '-P 2ac 2n'
loop_
_atom_site_label
_atom_site_type_symbol
_atom_site_fract_x
_atom_site_fract_y
_atom_site_fract_z
Ba1 Ba 0.080 0.077 0.139
Ba2 Ba 0.096 0.250 0.765
Al1 Al 0.059 0.125 0.463
P1 P 0.091 0.750 0.672
P2 P 0.155 0.558 0.387
P3 P 0.190 0.750 0.027
```

=====

No. 5
DFT (PBEsol) results for an optimized crystal structure of Ba2AlP.

Properties
Energy relative to the elements = -0.065 eV/atom
DOS at the Fermi energy = 4.37 states/eV/cell
Polymorph energy (0 for the lowest one) = 1.98 eV per formula unit

```
data_Ba2AlP
_chemical_formula_sum 'Ba2 Al1 P1'
_cell_length_a 4.567
_cell_length_b 4.567
_cell_length_c 6.693
_cell_angle_alpha 90.00
_cell_angle_beta 90.00
_cell_angle_gamma 90.00
_space_group_name_H-M_alt 'P 4 m m'
_space_group_IT_number 99
_space_group_name_Hall 'P 4 -2'
loop_
_atom_site_label
_atom_site_type_symbol
_atom_site_fract_x
_atom_site_fract_y
_atom_site_fract_z
Ba1 Ba 0.000 0.000 0.000
Ba2 Ba 0.500 0.500 0.422
Al1 Al 0.500 0.500 0.885
P1 P 0.000 0.000 0.530
```

=====

No. 6
DFT (PBEsol) results for an optimized crystal structure of Ba2AlP.

Properties
Energy relative to the elements = -0.560 eV/atom
DOS at the Fermi energy = 4.10 states/eV/cell
Polymorph energy (0 for the lowest one) = 0.00 eV per formula unit

```
data_Ba2AlP
_chemical_formula_sum 'Ba4 Al2 P2'
_cell_length_a 3.951
_cell_length_b 5.203
_cell_length_c 11.183
_cell_angle_alpha 90.00
_cell_angle_beta 90.00
_cell_angle_gamma 90.00
_space_group_name_H-M_alt 'I m m 2'
_space_group_IT_number 44
_space_group_name_Hall 'I 2 -2'
loop_
_atom_site_label
_atom_site_type_symbol
_atom_site_fract_x
_atom_site_fract_y
_atom_site_fract_z
Ba1 Ba 0.000 0.000 0.000
Ba2 Ba 0.000 0.500 0.207
Al1 Al 0.000 0.000 0.415
P1 P 0.000 0.500 0.779
```

=====

No. 7
DFT (PBEsol) results for an optimized crystal structure of Ba2AlTcP.

Properties
Energy relative to the elements = 0.137 eV/atom
DOS at the Fermi energy = 5.85 states/eV/cell

```
data_Ba2AlTcP
_chemical_formula_sum 'Ba2 Al1 Tc1 P1'
_cell_length_a 6.068
_cell_length_b 6.068
_cell_length_c 4.419
_cell_angle_alpha 90.00
_cell_angle_beta 90.00
_cell_angle_gamma 90.00
_space_group_name_H-M_alt 'P 4/m m m'
_space_group_IT_number 123
_space_group_name_Hall '-P 4 2'
loop_
_atom_site_label
_atom_site_type_symbol
_atom_site_fract_x
_atom_site_fract_y
_atom_site_fract_z
Ba1 Ba 0.000 0.500 0.000
Al1 Al 0.000 0.000 0.500
Tc1 Tc 0.500 0.500 0.500
P1 P 0.500 0.500 0.000
```

=====

No. 8
DFT (PBEsol) results for an optimized crystal structure of BaAlZn2P.

Properties
Energy relative to the elements = 0.146 eV/atom
DOS at the Fermi energy = 3.05 states/eV/cell

```
data_BaAlZn2P
_chemical_formula_sum 'Ba1 Al1 Zn2 P1'
_cell_length_a 4.851
_cell_length_b 4.851
_cell_length_c 5.060
_cell_angle_alpha 90.00
_cell_angle_beta 90.00
_cell_angle_gamma 90.00
_space_group_name_H-M_alt 'P 4/m m m'
_space_group_IT_number 123
_space_group_name_Hall '-P 4 2'
loop_
_atom_site_label
_atom_site_type_symbol
_atom_site_fract_x
_atom_site_fract_y
_atom_site_fract_z
Ba1 Ba 0.000 0.000 0.000
Al1 Al 0.500 0.500 0.000
Zn1 Zn 0.000 0.500 0.500
P1 P 0.500 0.500 0.500
```

=====

We obtain VASP energy values of -17.02, -26.53, -30.67, -185.57, -14.44, -32.84, -24.76, -14.47 eV per cell for the records listed above, in that order.